Entry 1:
A plane-wave DFT calculation with SCAN was carried out for a crystal of Na2CdSbRh relaxed with PBEsol.

Lattice parameters (Å, degrees): 5.061 5.061 4.975 90.00 90.00 90.00
Space group P4/mmm (No. 123)
Symmetry-distinct sites (fractional):
Na  0.000  0.500  0.000
Cd  0.000  0.000  0.000
Sb  0.500  0.500  0.500
Rh  0.000  0.000  0.500


Entry 2:
A plane-wave DFT calculation with SCAN was carried out for a crystal of Na2ZnCdRh relaxed with PBEsol.

Lattice parameters (Å, degrees): 5.306 5.306 4.695 90.00 90.00 90.00
Space group P4/mmm (No. 123)
Symmetry-distinct sites (fractional):
Na  0.000  0.500  0.000
Zn  0.000  0.000  0.500
Cd  0.500  0.500  0.500
Rh  0.000  0.000  0.000

ΔE_f   0.388 eV/atom


Entry 3:
A plane-wave DFT calculation with SCAN was carried out for a crystal of Na3CdS relaxed with PBEsol.

Lattice parameters (Å, degrees): 5.437 5.437 5.437 90.00 90.00 90.00
Space group Pm-3m (No. 221)
Symmetry-distinct sites (fractional):
Na  0.000  0.000  0.500
Cd  0.000  0.000  0.000
S  0.500  0.500  0.500


Entry 4:
A plane-wave DFT calculation with SCAN was carried out for a crystal of Na2CdSnS4 relaxed with PBEsol.

Lattice parameters (Å, degrees): 6.477 6.477 9.951 90.00 90.00 90.00
Space group I-4 (No. 82)
Symmetry-distinct sites (fractional):
Na  0.000  0.000  0.000
Na  0.000  0.500  0.250
Cd  0.000  0.500  0.750
Sn  0.000  0.000  0.500
S  0.211  0.764  0.625


no.,VASP energy (eV for the cell shown)
1,-107.21
2,-84.19
3,-52.04
4,-241.10